--- 1 ---
First-principles (PBE-GGA) data for a relaxed structure of Tl2GeOs, as listed in the Alexandria database.

Cell: 10.9398 10.9398 10.9398 Å, 158.51 158.51 30.58°
Positions (direct):
Tl  0.1211  0.6250  0.9961
Tl  0.3750  0.3711  0.4961
Tl  0.6289  0.1250  0.0039
Tl  0.8750  0.8789  0.5039
Ge  0.2500  0.7500  0.5000
Ge  0.5000  0.5000  0.0000
Os  0.0000  0.0000  0.0000
Os  0.7500  0.2500  0.5000

## Properties
M_tot (μB per formula unit): 0.6

---

--- 2 ---
First-principles (PBE-GGA) data for a relaxed structure of Tl2GeOs, as listed in the Alexandria database.

Cell: 4.9116 4.9116 4.9116 Å, 60.00 60.00 60.00°
Positions (direct):
Tl  0.2500  0.2500  0.2500
Tl  0.7500  0.7500  0.7500
Ge  0.0000  0.0000  0.0000
Os  0.5000  0.5000  0.5000

## Properties
M_tot (μB per formula unit): 0.0

---

2 comes first in stability; the runner-up is 0.028 eV/atom higher.

---

--- 1 ---
First-principles (PBE-GGA) data for a relaxed structure of TmGe3Os2, as listed in the Alexandria database.

Cell: 6.2255 6.2255 8.4552 Å, 90.00 90.00 139.96°
Positions (direct):
Tm  0.1799  0.8201  0.7500
Tm  0.8201  0.1799  0.2500
Ge  0.1374  0.8626  0.2500
Ge  0.3749  0.6251  0.0261
Ge  0.3749  0.6251  0.4739
Ge  0.6251  0.3749  0.5261
Ge  0.6251  0.3749  0.9739
Ge  0.8626  0.1374  0.7500
Os  0.0000  0.0000  0.0000
Os  0.0000  0.0000  0.5000
Os  0.4665  0.5335  0.7500
Os  0.5335  0.4665  0.2500

## Properties
M_tot (μB per formula unit): 0.0

---

--- 2 ---
First-principles (PBE-GGA) data for a relaxed structure of TmGe3Os2, as listed in the Alexandria database.

Cell: 6.3622 6.3622 5.9283 Å, 90.00 90.00 89.66°
Positions (direct):
Tm  0.2370  0.7630  0.7500
Tm  0.7630  0.2370  0.2500
Ge  0.1507  0.8493  0.2500
Ge  0.3029  0.4289  0.2500
Ge  0.4289  0.3029  0.7500
Ge  0.5711  0.6971  0.2500
Ge  0.6971  0.5711  0.7500
Ge  0.8493  0.1507  0.7500
Os  0.1636  0.1636  0.0000
Os  0.1636  0.1636  0.5000
Os  0.8364  0.8364  0.0000
Os  0.8364  0.8364  0.5000

## Properties
M_tot (μB per formula unit): 0.0

---

1 comes first in stability; the runner-up is 0.302 eV/atom higher.

---

--- 1 ---
First-principles (PBE-GGA) data for a relaxed structure of U2GeOs, as listed in the Alexandria database.

Cell: 4.1316 4.1316 4.2942 Å, 90.00 90.00 90.00°
Positions (direct):
U  0.0000  0.5000  0.0000
U  0.5000  0.0000  0.0000
Ge  0.0000  0.0000  0.5000
Os  0.5000  0.5000  0.5000

## Properties
M_tot (μB per formula unit): 1.3

---

--- 2 ---
First-principles (PBE-GGA) data for a relaxed structure of U2GeOs, as listed in the Alexandria database.

Cell: 3.7189 3.7189 5.6435 Å, 90.00 90.00 90.00°
Positions (direct):
U  0.0000  0.0000  0.2467
U  0.0000  0.0000  0.7533
Ge  0.5000  0.5000  0.0000
Os  0.5000  0.5000  0.5000

## Properties
M_tot (μB per formula unit): 3.4

---

2 comes first in stability; the runner-up is 0.014 eV/atom higher.

---

--- 1 ---
First-principles (PBE-GGA) data for a relaxed structure of U2GeOs, as listed in the Alexandria database.

Cell: 4.5877 5.7508 5.3754 Å, 90.00 90.00 90.00°
Positions (direct):
U  0.2500  0.0089  0.1299
U  0.2500  0.4911  0.1299
U  0.7500  0.5089  0.8701
U  0.7500  0.9911  0.8701
Ge  0.2500  0.2500  0.6219
Ge  0.7500  0.7500  0.3781
Os  0.2500  0.7500  0.6258
Os  0.7500  0.2500  0.3742

## Properties
M_tot (μB per formula unit): 0.0

---

--- 2 ---
First-principles (PBE-GGA) data for a relaxed structure of U2GeOs, as listed in the Alexandria database.

Cell: 9.9320 9.9320 9.9320 Å, 17.23 17.23 17.23°
Positions (direct):
U  0.2467  0.2467  0.2467
U  0.7533  0.7533  0.7533
Ge  0.0000  0.0000  0.0000
Os  0.5000  0.5000  0.5000

## Properties
M_tot (μB per formula unit): 0.0

---

--- 3 ---
First-principles (PBE-GGA) data for a relaxed structure of U2GeOs, as listed in the Alexandria database.

Cell: 5.9124 4.5428 6.0948 Å, 90.00 114.36 90.00°
Positions (direct):
U  0.1185  0.2500  0.2007
U  0.3539  0.7500  0.1197
U  0.6461  0.2500  0.8803
U  0.8815  0.7500  0.7993
Ge  0.3182  0.7500  0.6081
Ge  0.6818  0.2500  0.3919
Os  0.1339  0.2500  0.6980
Os  0.8661  0.7500  0.3020

## Properties
M_tot (μB per formula unit): 1.1

---

1 comes first in stability; the runner-up is 0.032 eV/atom higher.

---

--- 1 ---
First-principles (PBE-GGA) data for a relaxed structure of UGeOs2, as listed in the Alexandria database.

Cell: 4.7423 4.2965 6.9994 Å, 90.00 99.04 90.00°
Positions (direct):
U  0.1889  0.2500  0.2173
U  0.8111  0.7500  0.7827
Ge  0.2841  0.2500  0.7120
Ge  0.7159  0.7500  0.2880
Os  0.2559  0.7500  0.4980
Os  0.3347  0.7500  0.9244
Os  0.6653  0.2500  0.0756
Os  0.7441  0.2500  0.5020

## Properties
M_tot (μB per formula unit): 0.0

---

--- 2 ---
First-principles (PBE-GGA) data for a relaxed structure of UGeOs2, as listed in the Alexandria database.

Cell: 4.2069 4.2069 3.8208 Å, 90.00 90.00 90.00°
Positions (direct):
U  0.0000  0.0000  0.0000
Ge  0.5000  0.5000  0.0000
Os  0.0000  0.5000  0.5000
Os  0.5000  0.0000  0.5000

## Properties
M_tot (μB per formula unit): 0.0

---

2 comes first in stability; the runner-up is 0.024 eV/atom higher.

---

--- 1 ---
First-principles (PBE-GGA) data for a relaxed structure of UGeOs2, as listed in the Alexandria database.

Cell: 3.3705 3.3705 6.0722 Å, 90.00 90.00 90.00°
Positions (direct):
U  0.0000  0.0000  0.0000
Ge  0.0000  0.0000  0.5000
Os  0.5000  0.5000  0.2634
Os  0.5000  0.5000  0.7366

## Properties
M_tot (μB per formula unit): 0.0

---

--- 2 ---
First-principles (PBE-GGA) data for a relaxed structure of UGeOs2, as listed in the Alexandria database.

Cell: 4.8439 4.8439 4.8439 Å, 55.33 55.33 55.33°
Positions (direct):
U  0.0000  0.0000  0.0000
Ge  0.5000  0.5000  0.5000
Os  0.2135  0.2135  0.2135
Os  0.7865  0.7865  0.7865

## Properties
M_tot (μB per formula unit): 0.0

---

2 comes first in stability; the runner-up is 0.046 eV/atom higher.

---

--- 1 ---
First-principles (PBE-GGA) data for a relaxed structure of V2Ge4Os, as listed in the Alexandria database.

Cell: 7.0182 7.0182 7.0182 Å, 140.46 140.46 57.15°
Positions (direct):
V  0.0917  0.0917  0.0000
V  0.9083  0.9083  0.0000
Ge  0.0000  0.5000  0.5000
Ge  0.2959  0.2959  0.0000
Ge  0.5000  0.0000  0.5000
Ge  0.7041  0.7041  0.0000
Os  0.5000  0.5000  0.0000

## Properties
M_tot (μB per formula unit): 0.0

---

--- 2 ---
First-principles (PBE-GGA) data for a relaxed structure of V2Ge4Os, as listed in the Alexandria database.

Cell: 7.3987 7.3987 5.4881 Å, 110.24 110.24 23.97°
Positions (direct):
V  0.2436  0.2436  0.2429
V  0.7564  0.7564  0.7571
Ge  0.1200  0.1200  0.7786
Ge  0.3880  0.3880  0.6679
Ge  0.6120  0.6120  0.3321
Ge  0.8800  0.8800  0.2214
Os  0.0000  0.0000  0.0000

## Properties
M_tot (μB per formula unit): 1.4

---

2 comes first in stability; the runner-up is 0.574 eV/atom higher.

---

--- 1 ---
First-principles (PBE-GGA) data for a relaxed structure of V3GeOs, as listed in the Alexandria database.

Cell: 4.5856 4.5856 4.5856 Å, 90.00 90.00 90.00°
Positions (direct):
V  0.0000  0.0000  0.5000
V  0.0000  0.5000  0.0000
V  0.5000  0.0000  0.0000
Ge  0.5000  0.5000  0.5000
Os  0.0000  0.0000  0.0000

## Properties
M_tot (μB per formula unit): 1.2

---

--- 2 ---
First-principles (PBE-GGA) data for a relaxed structure of V3GeOs, as listed in the Alexandria database.

Cell: 4.3733 4.3733 4.3733 Å, 90.00 90.00 90.00°
Positions (direct):
V  0.0000  0.0000  0.5000
V  0.0000  0.5000  0.0000
V  0.5000  0.0000  0.0000
Ge  0.0000  0.0000  0.0000
Os  0.5000  0.5000  0.5000

## Properties
M_tot (μB per formula unit): 0.0

---

1 comes first in stability; the runner-up is 0.180 eV/atom higher.

---

--- 1 ---
First-principles (PBE-GGA) data for a relaxed structure of VGe2Os, as listed in the Alexandria database.

Cell: 9.3173 9.3173 9.3173 Å, 17.24 17.24 17.24°
Positions (direct):
V  0.0000  0.0000  0.0000
Ge  0.4089  0.4089  0.4089
Ge  0.5911  0.5911  0.5911
Os  0.5000  0.5000  0.5000

## Properties
M_tot (μB per formula unit): 0.0

---

--- 2 ---
First-principles (PBE-GGA) data for a relaxed structure of VGe2Os, as listed in the Alexandria database.

Cell: 4.3520 4.3520 4.3520 Å, 60.00 60.00 60.00°
Positions (direct):
V  0.0000  0.0000  0.0000
Ge  0.2500  0.2500  0.2500
Ge  0.7500  0.7500  0.7500
Os  0.5000  0.5000  0.5000

## Properties
M_tot (μB per formula unit): 2.4

---

--- 3 ---
First-principles (PBE-GGA) data for a relaxed structure of VGe2Os, as listed in the Alexandria database.

Cell: 9.3027 9.3027 9.3027 Å, 156.55 156.55 33.41°
Positions (direct):
V  0.0000  0.0000  0.0000
V  0.7500  0.2500  0.5000
Ge  0.1213  0.6250  0.9963
Ge  0.3750  0.3713  0.4963
Ge  0.6287  0.1250  0.0037
Ge  0.8750  0.8787  0.5037
Os  0.2500  0.7500  0.5000
Os  0.5000  0.5000  0.0000

## Properties
M_tot (μB per formula unit): 0.0

---

2 comes first in stability; the runner-up is 0.274 eV/atom higher.

---

--- 1 ---
First-principles (PBE-GGA) data for a relaxed structure of GeOsW3, as listed in the Alexandria database.

Cell: 4.7768 4.7768 4.7768 Å, 90.00 90.00 90.00°
Positions (direct):
Ge  0.0000  0.0000  0.0000
Os  0.5000  0.5000  0.5000
W  0.0000  0.5000  0.5000
W  0.5000  0.0000  0.5000
W  0.5000  0.5000  0.0000

## Properties
M_tot (μB per formula unit): 0.0

---

--- 2 ---
First-principles (PBE-GGA) data for a relaxed structure of GeOsW3, as listed in the Alexandria database.

Cell: 4.5085 4.5085 4.5085 Å, 90.00 90.00 90.00°
Positions (direct):
Ge  0.0000  0.0000  0.0000
Os  0.5000  0.5000  0.5000
W  0.0000  0.0000  0.5000
W  0.0000  0.5000  0.0000
W  0.5000  0.0000  0.0000

## Properties
M_tot (μB per formula unit): 0.0

---

2 comes first in stability; the runner-up is 0.093 eV/atom higher.

---

--- 1 ---
First-principles (PBE-GGA) data for a relaxed structure of ZnGe2Os2, as listed in the Alexandria database.

Cell: 7.1319 7.1319 3.0133 Å, 90.00 90.00 90.00°
Positions (direct):
Zn  0.0000  0.0000  0.0000
Zn  0.5000  0.5000  0.0000
Ge  0.1500  0.3500  0.5000
Ge  0.3500  0.8500  0.5000
Ge  0.6500  0.1500  0.5000
Ge  0.8500  0.6500  0.5000
Os  0.1481  0.6481  0.0000
Os  0.3519  0.1481  0.0000
Os  0.6481  0.8519  0.0000
Os  0.8519  0.3519  0.0000

## Properties
M_tot (μB per formula unit): 0.0

---

--- 2 ---
First-principles (PBE-GGA) data for a relaxed structure of ZnGe2Os2, as listed in the Alexandria database.

Cell: 6.6375 6.6375 6.6375 Å, 148.22 148.22 45.56°
Positions (direct):
Zn  0.0000  0.0000  0.0000
Ge  0.2500  0.7500  0.5000
Ge  0.7500  0.2500  0.5000
Os  0.3916  0.3916  0.0000
Os  0.6084  0.6084  0.0000

## Properties
M_tot (μB per formula unit): 0.0

---

1 comes first in stability; the runner-up is 0.174 eV/atom higher.

---

--- 1 ---
First-principles (PBE-GGA) data for a relaxed structure of GeP3, as listed in the Alexandria database.

Cell: 5.3047 5.3047 5.3047 Å, 84.36 84.36 84.36°
Positions (direct):
Ge  0.2367  0.2367  0.2367
Ge  0.7633  0.7633  0.7633
P  0.2381  0.7112  0.7112
P  0.2888  0.2888  0.7619
P  0.2888  0.7619  0.2888
P  0.7112  0.2381  0.7112
P  0.7112  0.7112  0.2381
P  0.7619  0.2888  0.2888

## Properties
M_tot (μB per formula unit): 0.0

---

--- 2 ---
First-principles (PBE-GGA) data for a relaxed structure of GeP3, as listed in the Alexandria database.

Cell: 3.6339 4.8704 3.9025 Å, 90.00 90.00 90.00°
Positions (direct):
Ge  0.0000  0.0000  0.0000
P  0.0000  0.5000  0.8539
P  0.5000  0.0000  0.4065
P  0.5000  0.5000  0.4878

## Properties
M_tot (μB per formula unit): 0.0

---

1 comes first in stability; the runner-up is 0.066 eV/atom higher.